[1]
{
  "formula": "Li2AlPb2",
  "functional": "GGA-PBE",
  "state": "relaxed",
  "lattice_angstrom": [[-3.6429, 4.5289, 5.2133], [-6.3514, 0.1166, -4.5395], [-1.2450, -2.9203, 1.6669]],
  "species": ["Pb", "Pb", "Pb", "Pb", "Al", "Al", "Li", "Li", "Li", "Li"],
  "fractional_positions": [[0.1764, 0.6764, 0.5000], [0.6764, 0.8236, 0.5000], [0.8236, 0.3236, 0.5000], [0.3236, 0.1764, 0.5000], [0.0000, 0.0000, 0.0000], [0.5000, 0.5000, 0.0000], [0.3751, 0.8751, 0.0000], [0.8751, 0.6249, 0.0000], [0.6249, 0.1249, 0.0000], [0.1249, 0.3751, 0.0000]],
  "dft_energy_ev_per_atom": -3.031,
  "sg": "P4/mbm"
}

---

[2]
{
  "formula": "LiAlPb",
  "functional": "GGA-PBE",
  "state": "relaxed",
  "lattice_angstrom": [[-5.0168, 2.5045, -0.1596], [-0.3500, -0.3448, 5.5879], [3.8635, 7.7850, 0.7224]],
  "species": ["Pb", "Pb", "Pb", "Pb", "Al", "Al", "Al", "Al", "Li", "Li", "Li", "Li"],
  "fractional_positions": [[0.5000, 0.8410, 0.0000], [0.5000, 0.1590, 0.5000], [0.1590, 0.5000, 0.2500], [0.8410, 0.5000, 0.7500], [0.6857, 0.6857, 0.3750], [0.3143, 0.3143, 0.8750], [0.3143, 0.6857, 0.6250], [0.6857, 0.3143, 0.1250], [0.0000, 0.7928, 0.0000], [0.0000, 0.2072, 0.5000], [0.2072, 0.0000, 0.2500], [0.7928, 0.0000, 0.7500]],
  "dft_energy_ev_per_atom": -2.996,
  "sg": "P4_122"
}

---

[3]
{
  "formula": "LiAlPb",
  "functional": "GGA-PBE",
  "state": "relaxed",
  "lattice_angstrom": [[-0.3337, 10.1420, -5.0689], [-11.0481, -1.4306, -2.1349], [-6.2567, 5.4380, -1.3991]],
  "species": ["Pb", "Pb", "Pb", "Pb", "Al", "Al", "Al", "Al", "Li", "Li", "Li", "Li"],
  "fractional_positions": [[0.3484, 0.0000, 0.0000], [0.6516, 0.0000, 0.0000], [0.0000, 0.3484, 0.0000], [0.0000, 0.6516, 0.0000], [0.8820, 0.8820, 0.0000], [0.1180, 0.1180, 0.0000], [0.1180, 0.8820, 0.0000], [0.8820, 0.1180, 0.0000], [0.6992, 0.5000, 0.0000], [0.3008, 0.5000, 0.0000], [0.5000, 0.6992, 0.0000], [0.5000, 0.3008, 0.0000]],
  "dft_energy_ev_per_atom": -2.948,
  "sg": "I4/mmm"
}

---

[4]
{
  "formula": "LiAlPb",
  "functional": "GGA-PBE",
  "state": "relaxed",
  "lattice_angstrom": [[-8.9211, 2.7272, -11.6734], [-5.1574, -1.7159, -5.5349], [2.5578, 0.7178, 7.2884]],
  "species": ["Pb", "Pb", "Al", "Al", "Li", "Li"],
  "fractional_positions": [[0.4209, 0.1411, 0.8589], [0.2181, 0.0290, 0.9710], [0.9543, 0.4572, 0.5428], [0.9069, 0.1517, 0.8483], [0.4880, 0.4142, 0.5858], [0.7393, 0.0094, 0.9906]],
  "dft_energy_ev_per_atom": -3.145,
  "sg": "Cm"
}

---

Number 1: size of the total moment 0.00 μB per cell. Number 2: size of the total moment 0.00 μB per cell. Number 3: size of the total moment 0.00 μB per cell. Number 4: size of the total moment 0.00 μB per cell.